SrLiCa2 | meta-GGA SCAN | single point on PBEsol structure

Unit cell a=3.8696 b=5.6821 c=7.4679 alpha=90.00 beta=104.92 gamma=90.00
Closest atoms and distances in Å follow each position.
Space group Pm (No. 6)
One atom of each set of equivalent atoms:
Sr1 0.0000 0.0000 0.0000 x1  4 Li 3.67-3.95, 5 Ca 3.78-4.09, 2 Sr 3.87
Li1 0.4591 0.5000 0.7742 x1  4 Ca 3.42-3.80, 2 Sr 3.67
Ca1 0.1926 0.0000 0.5226 x1  2 Li 3.42, 2 Ca 3.74, 2 Sr 3.78-3.83
Ca2 0.6113 0.5000 0.2977 x1  6 Ca 3.74-3.87, 3 Li 3.75-4.17, 4 Sr 3.99-4.12

Values from the calculation:
As for the density of states at the Fermi level: 3.2 states/eV per cell. The volume comes out at 39.67 A^3/atom. For the calculated total energy, the calculation gives -10.9217 eV per atom. The value obtained for the mass density is 1.8 Mg/m³. The value obtained for the formation enthalpy at 0 K is 0.08 eV per atom.


SrLiCa2 | meta-GGA SCAN | single point on PBEsol structure

Unit cell a=5.4152 b=5.4152 c=10.7187 alpha=90.00 beta=90.00 gamma=90.00
Closest atoms and distances in Å follow each position.
Space group I-4m2 (No. 119)
One atom of each set of equivalent atoms:
Sr1 0.0000 0.0000 0.0000 x2  4 Li 3.81, 8 Ca 3.81-3.83
Li1 0.0000 0.5000 0.7500 x2  8 Ca 3.81-3.83, 4 Sr 3.81
Ca1 0.0000 0.0000 0.5000 x2  4 Li 3.81, 4 Ca 3.81, 4 Sr 3.83
Ca2 0.0000 0.5000 0.2500 x2  4 Ca 3.81, 4 Sr 3.81, 4 Li 3.83

Values from the calculation:
As for the density of states at the Fermi level: 7.5 states/eV per cell. The volume comes out at 39.29 A^3/atom. For the calculated total energy, the calculation gives -10.9094 eV per atom. The value obtained for the mass density is 1.8 Mg/m³. The value obtained for the formation enthalpy at 0 K is 0.09 eV per atom.


SrLiCa2 | meta-GGA SCAN | single point on PBEsol structure

Unit cell a=5.2516 b=5.2516 c=5.6729 alpha=90.00 beta=90.00 gamma=90.00
Closest atoms and distances in Å follow each position.
Space group P4/mmm (No. 123)
One atom of each set of equivalent atoms:
Sr1 0.0000 0.0000 0.0000 x1  4 Li 3.71, 8 Ca 3.87
Li1 0.5000 0.5000 0.0000 x1  4 Sr 3.71, 8 Ca 3.87
Ca1 0.0000 0.5000 0.5000 x2  4 Ca 3.71, 4 Li 3.87, 4 Sr 3.87

Values from the calculation:
As for the density of states at the Fermi level: 3.6 states/eV per cell. The volume comes out at 39.11 A^3/atom. For the calculated total energy, the calculation gives -10.9218 eV per atom. The value obtained for the mass density is 1.9 Mg/m³. The value obtained for the formation enthalpy at 0 K is 0.08 eV per atom.


SrLiCa2 | meta-GGA SCAN | single point on PBEsol structure

Unit cell a=3.8516 b=5.7977 c=7.3280 alpha=90.00 beta=104.70 gamma=90.00
Closest atoms and distances in Å follow each position.
Space group P2/m (No. 10)
One atom of each set of equivalent atoms:
Sr1 0.0000 0.0000 0.0000 x1  2 Li 3.68, 2 Sr 3.85, 8 Ca 3.89-4.05
Li1 0.5000 0.0000 0.5000 x1  4 Ca 3.51, 2 Sr 3.68, 2 Li 3.85
Ca1 0.3264 0.5000 0.7315 x2  2 Li 3.51, 4 Ca 3.68-3.85, 2 Sr 3.89

Values from the calculation:
As for the density of states at the Fermi level: 3.1 states/eV per cell. The volume comes out at 39.57 A^3/atom. For the calculated total energy, the calculation gives -10.9163 eV per atom. The value obtained for the mass density is 1.8 Mg/m³. The value obtained for the formation enthalpy at 0 K is 0.08 eV per atom.


SrLiCa2 | meta-GGA SCAN | single point on PBEsol structure

Unit cell a=8.5671 b=8.5671 c=8.5671 alpha=90.00 beta=90.00 gamma=90.00
Closest atoms and distances in Å follow each position.
Space group F-43m (No. 216)
One atom of each set of equivalent atoms:
Sr1 0.0000 0.0000 0.0000 x4  4 Li 3.71, 4 Ca 3.71
Li1 0.2500 0.2500 0.7500 x4  4 Ca 3.71, 4 Sr 3.71
Ca1 0.0000 0.0000 0.5000 x4  4 Ca 3.71, 4 Li 3.71
Ca2 0.2500 0.2500 0.2500 x4  4 Ca 3.71, 4 Sr 3.71

Values from the calculation:
As for the density of states at the Fermi level: 16.6 states/eV per cell. The volume comes out at 39.30 A^3/atom. For the calculated total energy, the calculation gives -10.8941 eV per atom. The value obtained for the mass density is 1.8 Mg/m³. The value obtained for the formation enthalpy at 0 K is 0.10 eV per atom.


SrLiCa2 | meta-GGA SCAN | single point on PBEsol structure

Unit cell a=4.0696 b=6.1705 c=12.3452 alpha=90.00 beta=90.00 gamma=90.00
Closest atoms and distances in Å follow each position.
Space group Immm (No. 71)
One atom of each set of equivalent atoms:
Sr1 0.0000 0.0000 0.0000 x2  4 Li 3.70, 8 Ca 4.03-4.10, 2 Sr 4.07
Li1 0.0000 0.0000 0.5000 x2  4 Ca 3.38, 4 Sr 3.70
Ca1 0.0000 0.5000 0.2183 x4  2 Li 3.38, 4 Ca 3.78

Values from the calculation:
As for the density of states at the Fermi level: 6.7 states/eV per cell. The volume comes out at 38.75 A^3/atom. For the calculated total energy, the calculation gives -10.9883 eV per atom. The value obtained for the mass density is 1.9 Mg/m³. The value obtained for the formation enthalpy at 0 K is 0.01 eV per atom.